(1)
DFT (PBE) results for HoHf2Sn after structural relaxation.

The value obtained for the formation enthalpy at 0 K is -0.4404 eV/atom. As for the space group: P2_1/m, No. 11. The volume comes out at 25.1 Å³ per atom. The calculation puts the calculated total energy at -60.50 eV per cell.

Unit cell a=4.377 b=4.372 c=10.725 alpha=101.71 beta=90.00 gamma=90.00
Fractional positions:
Sn  0.250  0.159  0.319
Hf  0.250  0.950  0.899
Hf  0.750  0.050  0.101
Hf  0.750  0.448  0.896
Ho  0.750  0.689  0.379
Sn  0.750  0.841  0.681
Hf  0.250  0.552  0.104
Ho  0.250  0.311  0.621

(2)
DFT (PBE) results for Ho2HfSn after structural relaxation.

The value obtained for the formation enthalpy at 0 K is -0.2650 eV/atom. As for the space group: P4/mmm, No. 123. The value obtained for the energy above the lowest structure with this stoichiometry is 0 meV per atom. The volume comes out at 25.2 Å³ per atom. The calculation puts the calculated total energy at -24.17 eV per cell.

Unit cell a=4.668 b=4.643 c=4.643 alpha=90.00 beta=90.00 gamma=90.00
Fractional positions:
Hf  0.500  0.500  0.500
Sn  0.500  0.000  0.000
Ho  0.000  0.000  0.500
Ho  0.000  0.500  0.000

(3)
DFT (PBE) results for HoHfTa after structural relaxation.

The value obtained for the formation enthalpy at 0 K is 0.2782 eV/atom. As for the space group: R-3m, No. 166. The volume comes out at 23.5 Å³ per atom. The calculation puts the calculated total energy at -51.10 eV per cell.

Unit cell a=3.270 b=3.270 c=15.357 alpha=83.89 beta=83.89 gamma=60.00
Fractional positions:
Ta  0.811  0.811  0.567
Ho  0.367  0.367  0.898
Hf  0.906  0.906  0.283
Ho  0.633  0.633  0.102
Ta  0.189  0.189  0.433
Hf  0.094  0.094  0.717

(4)
DFT (PBE) results for TbHoHf after structural relaxation.

The value obtained for the formation enthalpy at 0 K is 0.1176 eV/atom. As for the space group: I4mm, No. 107. The value obtained for the energy above the lowest structure with this stoichiometry is 0 meV per atom. The volume comes out at 27.8 Å³ per atom. The calculation puts the calculated total energy at -18.81 eV per cell.

Unit cell a=3.359 b=3.359 c=7.774 alpha=102.48 beta=102.48 gamma=90.00
Fractional positions:
Ho  0.321  0.321  0.643
Hf  0.668  0.668  0.335
Tb  0.011  0.011  0.022